## Cd2TeBr (PBE)

Data for a relaxed Cd2TeBr crystal.

Cell lengths 5.778, 5.778, 5.778 Å; angles 136.17, 104.33, 91.78 degrees
Fractional positions:
Cd1 0.503 0.503 0.000
Cd2 0.997 0.997 0.000
Br1 0.250 0.750 0.500
Te1 0.750 0.250 0.500

Results
- symmetry = Immm
- formation energy from raw total energies (meV per atom) = -237
- DOS at the Fermi energy (states/eV per cell) = 1.1